A plane-wave DFT calculation with PBE was carried out for an optimized crystal structure of K5Rb12Na2.

a b c (Å): 11.811 11.811 11.446
angles (deg): 97.99 97.99 77.67
Positions (direct):
K1 0.000 0.000 0.000
K2 0.246 0.246 0.016
K3 0.367 0.367 0.410
K4 0.633 0.633 0.590
K5 0.754 0.754 0.984
Rb1 0.036 0.621 0.693
Rb2 0.124 0.124 0.612
Rb3 0.152 0.638 0.131
Rb4 0.362 0.848 0.869
Rb5 0.379 0.964 0.307
Rb6 0.432 0.432 0.800
Rb7 0.568 0.568 0.200
Rb8 0.621 0.036 0.693
Rb9 0.638 0.152 0.131
Rb10 0.848 0.362 0.869
Rb11 0.876 0.876 0.388
Rb12 0.964 0.379 0.307
Na1 0.273 0.727 0.500
Na2 0.727 0.273 0.500

Formation enthalpy at 0 K, eV per atom: 0.0247
Calculated density, g/cm³: 1.37